# 1
This record from Alexandria describes crystalline RbGeO2 at its relaxed geometry. The functional is PBE.

Properties
* SG: I-42d
* total energy: -84.00 eV per cell

Cell lengths 6.0129, 6.0129, 8.5597 Å; angles 90.00, 90.00, 90.00 degrees
Fractional positions:
Rb: 0.0000 0.0000 0.0000
Rb: 0.0000 0.5000 0.2500
Rb: 0.5000 0.0000 0.7500
Rb: 0.5000 0.5000 0.5000
Ge: 0.0000 0.0000 0.5000
Ge: 0.0000 0.5000 0.7500
Ge: 0.5000 0.0000 0.2500
Ge: 0.5000 0.5000 0.0000
O: 0.1017 0.2500 0.6250
O: 0.2500 0.6017 0.8750
O: 0.2500 0.8983 0.3750
O: 0.3983 0.2500 0.1250
O: 0.6017 0.7500 0.1250
O: 0.7500 0.1017 0.3750
O: 0.7500 0.3983 0.8750
O: 0.8983 0.7500 0.6250

***

# 2
This record from Alexandria describes crystalline MnTlSnRu2 at its relaxed geometry. The functional is PBE.

Properties
* SG: P4/mmm
* total energy: -24.00 eV per cell

Cell lengths 4.9570, 4.9570, 5.2865 Å; angles 90.00, 90.00, 90.00 degrees
Fractional positions:
Mn: 0.0000 0.0000 0.0000
Tl: 0.5000 0.5000 0.5000
Sn: 0.5000 0.5000 0.0000
Ru: 0.0000 0.5000 0.5000
Ru: 0.5000 0.0000 0.5000